# Ta2CdPd, relaxed, DFT GGA-PBE
data_Ta2CdPd
_cell_length_a 4.673
_cell_length_b 4.673
_cell_length_c 4.673
_cell_angle_alpha 60.00
_cell_angle_beta 60.00
_cell_angle_gamma 60.00
_space_group_name_H-M_alt 'P 1'
_space_group_IT_number 1
_space_group_name_Hall 'P 1'
loop_
_atom_site_label
_atom_site_fract_x
_atom_site_fract_y
_atom_site_fract_z
_atom_site_occupancy
Ta1 0.250 0.250 0.250 1
Ta2 0.500 0.500 0.500 1
Cd1 0.750 0.750 0.750 1
Pd1 0.000 0.000 0.000 1
# * SG: No. 216
# * mass density: 13.368 g/cm³
# * energy: -28.62 eV/cell
# * crystal system: cubic
# * total magnetic moment: 0.29 μB/atom
# * ΔE_f: 0.290 eV/atom
# * volume: 72.14 Å³/f.u.

***

# MgTaInOs, relaxed, DFT GGA-PBE
data_MgTaInOs
_cell_length_a 4.618
_cell_length_b 4.618
_cell_length_c 4.618
_cell_angle_alpha 60.00
_cell_angle_beta 60.00
_cell_angle_gamma 60.00
_space_group_name_H-M_alt 'P 1'
_space_group_IT_number 1
_space_group_name_Hall 'P 1'
loop_
_atom_site_label
_atom_site_fract_x
_atom_site_fract_y
_atom_site_fract_z
_atom_site_occupancy
Mg1 0.750 0.750 0.750 1
In1 0.250 0.250 0.250 1
Ta1 0.500 0.500 0.500 1
Os1 0.000 0.000 0.000 1
# * SG: No. 216
# * mass density: 12.171 g/cm³
# * energy: -25.28 eV/cell
# * energy above the most stable polymorph in this dataset: 204.4 kJ/mol of formula units
# * crystal system: cubic
# * total magnetic moment: 0.00 μB/atom
# * volume: 69.62 Å³/f.u.